Record 1
## CsVCdBi2 (PBE)

Data for an optimized crystal structure of CsVCdBi2.

Summary:
For the density of states at the Fermi level, the calculation gives 8.06 states/eV/cell. The total moment is 0.031 μB per formula unit. The electronic total energy is -1.77 eV/atom. The calculation puts the formation energy at 1.96 eV/atom.

Cell lengths 6.2897, 6.2897, 6.0993 Å; angles 90.00, 90.00, 90.00 degrees
With the nearest neighbours (Å) after each atom.
Space group P4/mmm (No. 123)
Inequivalent atoms, fractional coordinates:
Cs1 0.0000 0.0000 0.0000  2 Cd 3.05, 4 Bi 3.14
V1 0.5000 0.5000 0.5000  8 Bi 4.38, 4 Cd 4.45
Cd1 0.0000 0.0000 0.5000  2 Cs 3.05
Bi1 0.0000 0.5000 0.0000  2 Cs 3.14

---

Record 2
## LiTbTlRu (PBE)

Data for an optimized crystal structure of LiTbTlRu.

Summary:
For the density of states at the Fermi level, the calculation gives 5.45 states/eV/cell. The total moment is 0.000 μB per formula unit. The electronic total energy is -4.67 eV/atom. The calculation puts the formation energy at -0.12 eV/atom.

Cell lengths 6.7837, 6.7837, 6.7837 Å; angles 90.00, 90.00, 90.00 degrees
With the nearest neighbours (Å) after each atom.
Space group F-43m (No. 216)
Inequivalent atoms, fractional coordinates:
Li1 0.0000 0.0000 0.0000  4 Tb 2.94, 4 Tl 2.94
Tb1 0.2500 0.2500 0.7500  4 Li 2.94, 4 Ru 2.94
Tl1 0.2500 0.2500 0.2500  4 Li 2.94, 4 Ru 2.94
Ru1 0.0000 0.0000 0.5000  4 Tl 2.94, 4 Tb 2.94